# 1
The following is a PBE calculation of a geometry-optimized MgSc2MoAu structure, from the Alexandria database.

```
MgSc2MoAu
1.0
5.144 0.000 0.000
0.000 5.144 0.000
0.000 0.000 4.913
Mg Sc Mo Au
1 2 1 1
Direct
0.000 0.000 0.000
0.000 0.500 0.500
0.500 0.000 0.500
0.500 0.500 0.000
0.000 0.000 0.500
```

Values from the calculation:
**Calculated volume**: 26.00 Å³ per atom
**E**: -5.017 eV/atom
**Calculated formation energy**: 0.66 eV per atom
**Space group**: No. 123

# 2
The following is a PBE calculation of a geometry-optimized Ho3Cu7Si4 structure, from the Alexandria database.

```
Ho3Cu7Si4
1.0
7.493 -2.033 0.000
7.493 2.033 0.000
-5.361 0.000 7.205
Ho Cu Si
3 7 4
Direct
0.000 0.000 0.000
0.306 0.306 0.308
0.694 0.694 0.692
0.000 0.000 0.500
0.145 0.145 0.410
0.327 0.327 0.975
0.497 0.497 0.703
0.503 0.503 0.297
0.673 0.673 0.025
0.855 0.855 0.590
0.120 0.120 0.837
0.340 0.340 0.714
0.660 0.660 0.286
0.880 0.880 0.163
```

Values from the calculation:
**Calculated volume**: 15.68 Å³ per atom
**E**: -5.064 eV/atom
**Space group**: No. 12

# 3
The following is a PBE calculation of a geometry-optimized Th2Ga5Ni4 structure, from the Alexandria database.

```
Th2Ga5Ni4
1.0
0.000 4.615 7.732
2.632 0.000 7.732
2.632 4.615 0.000
Th Ga Ni
2 5 4
Direct
0.133 0.133 0.867
0.867 0.867 0.133
0.000 0.000 0.500
0.250 0.250 0.250
0.500 0.500 0.000
0.500 0.500 0.500
0.750 0.750 0.750
0.217 0.519 0.481
0.481 0.783 0.217
0.519 0.217 0.783
0.783 0.481 0.519
```

Values from the calculation:
**Calculated volume**: 17.08 Å³ per atom
**E**: -5.367 eV/atom
**Calculated formation energy**: -0.54 eV per atom
**Space group**: No. 69

# 4
The following is a PBE calculation of a geometry-optimized MnCrAu2N structure, from the Alexandria database.

```
MnCrAu2N
1.0
4.915 0.000 0.000
0.000 4.915 0.000
0.000 0.000 4.038
Mn Cr Au N
1 1 2 1
Direct
0.000 0.000 0.000
0.000 0.000 0.500
0.000 0.500 0.500
0.500 0.000 0.500
0.500 0.500 0.000
```

Values from the calculation:
**Calculated volume**: 19.51 Å³ per atom
**E**: -4.622 eV/atom
**Space group**: No. 123